Record 1
# Al2CrHIr

Al2CrHIr after structural relaxation (GGA-PBE, Alexandria via LeMat-Bulk).

Cell lengths 4.1523, 4.1523, 3.3258 Å; angles 90.00, 90.00, 90.00 degrees
Last column: nearest neighbours and their distance in Å.
Fractional coordinates of all 5 atoms:
Al1 0.0000 0.5000 0.0000  2 H 2.08
Al2 0.5000 0.0000 0.0000  2 H 2.08
Cr1 0.0000 0.0000 0.5000  2 H 1.66
H1 0.0000 0.0000 0.0000  2 Cr 1.66
Ir1 0.5000 0.5000 0.5000  8 Al 2.66, 4 Cr 2.94

Computed properties:
For the raw total energy, the calculation gives -6.2041 eV/atom. The space group is P4/mmm, No. 123.

=====

Record 2
# Ho5S4N

Ho5S4N after structural relaxation (GGA-PBE, Alexandria via LeMat-Bulk).

Cell lengths 13.8273, 13.8273, 13.8273 Å; angles 164.18, 164.18, 22.45 degrees
Last column: nearest neighbours and their distance in Å.
Fractional coordinates of all 10 atoms:
Ho1 0.0000 0.0000 0.0000  4 N 2.69, 2 S 2.70
Ho2 0.2030 0.2030 0.0000  6 S 2.70-2.80
Ho3 0.4150 0.4150 0.0000  1 N 2.31
Ho4 0.5850 0.5850 0.0000  1 N 2.31
Ho5 0.7970 0.7970 0.0000  6 S 2.70-2.80
S1 0.0996 0.0996 0.0000  6 Ho 2.70-2.80
S2 0.3052 0.3052 0.0000  6 Ho 2.70-2.98
S3 0.6948 0.6948 0.0000  6 Ho 2.70-2.98
S4 0.9004 0.9004 0.0000  6 Ho 2.70-2.80
N1 0.5000 0.5000 0.0000  2 Ho 2.31

Computed properties:
The space group is I4/mmm, No. 139. The formation energy (no corrections) is -18.755 eV per formula unit.

=====

Record 3
# Er4Tm4Th3

Er4Tm4Th3 after structural relaxation (GGA-PBE, Alexandria via LeMat-Bulk).

Cell lengths 10.5040, 6.5557, 6.5557 Å; angles 50.41, 90.00, 90.00 degrees
Last column: nearest neighbours and their distance in Å.
Fractional coordinates of all 11 atoms:
Er1 0.0000 0.0000 0.0000  2 Tm 3.07, 2 Er 3.33
Er2 0.2156 0.7947 0.7947  4 Tm 3.18-3.39, 2 Er 3.33-3.44, 2 Th 3.45
Er3 0.5000 0.9381 0.9381  3 Tm 3.30-3.36, 2 Er 3.44, 4 Th 3.58
Er4 0.7844 0.7947 0.7947  4 Tm 3.18-3.39, 2 Er 3.33-3.44, 2 Th 3.45
Tm1 0.0000 0.6071 0.6071  4 Er 3.07-3.18
Tm2 0.2943 0.1545 0.1545  4 Er 3.35-3.59, 2 Tm 3.53, 4 Th 3.54-3.67
Tm3 0.5000 0.6598 0.6598  3 Er 3.30-3.39, 2 Th 3.32, 4 Tm 3.53
Tm4 0.7057 0.1545 0.1545  4 Er 3.35-3.59, 2 Tm 3.53, 4 Th 3.54-3.67
Th1 0.0000 0.3068 0.3068  2 Th 3.48, 5 Tm 3.56-3.66, 7 Er 3.60-3.64
Th2 0.2870 0.4532 0.4532  5 Tm 3.32-3.67, 4 Er 3.45-3.58, 1 Th 3.48
Th3 0.7130 0.4532 0.4532  5 Tm 3.32-3.67, 4 Er 3.45-3.58, 1 Th 3.48

Computed properties:
For the raw total energy, the calculation gives -5.1417 eV/atom. The space group is Amm2, No. 38.

=====

Record 4
# Ta7Mo

Ta7Mo after structural relaxation (GGA-PBE, Alexandria via LeMat-Bulk).

Cell lengths 2.8684, 9.2861, 5.4746 Å; angles 90.00, 100.31, 90.00 degrees
Last column: nearest neighbours and their distance in Å.
Fractional coordinates of all 8 atoms:
Ta1 0.0000 0.0000 0.0000  6 Ta 2.84-2.87, 2 Mo 2.85
Ta2 0.0000 0.5000 0.0000  8 Ta 2.85-2.91
Ta3 0.2645 0.2458 0.7473  1 Mo 2.80, 7 Ta 2.84-2.91
Ta4 0.2645 0.7542 0.7473  1 Mo 2.80, 7 Ta 2.84-2.91
Ta5 0.5000 0.5000 0.5000  8 Ta 2.85-2.87
Ta6 0.7355 0.2458 0.2527  1 Mo 2.80, 7 Ta 2.84-2.91
Ta7 0.7355 0.7542 0.2527  1 Mo 2.80, 7 Ta 2.84-2.91
Mo1 0.5000 0.0000 0.5000  6 Ta 2.80-2.85, 2 Mo 2.87

Computed properties:
For the raw total energy, the calculation gives -11.7512 eV/atom. The space group is P2/m, No. 10.

=====

Record 5
# Ba4BiAs2

Ba4BiAs2 after structural relaxation (GGA-PBE, Alexandria via LeMat-Bulk).

Cell lengths 8.9300, 8.9300, 8.9044 Å; angles 109.20, 109.20, 110.13 degrees
Last column: nearest neighbours and their distance in Å.
Fractional coordinates of all 14 atoms:
Ba1 0.0022 0.9978 0.5000  3 As 3.31-3.65, 1 Bi 3.50
Ba2 0.1218 0.4756 0.8576  3 As 3.31-3.67, 1 Bi 3.50
Ba3 0.3509 0.8554 0.7069  3 As 3.31-3.64, 1 Bi 3.50
Ba4 0.4723 0.6182 0.3502  3 As 3.31-3.67, 1 Bi 3.50
Ba5 0.4756 0.1218 0.3576  3 As 3.31-3.67, 1 Bi 3.50
Ba6 0.6182 0.4723 0.8502  3 As 3.31-3.67, 1 Bi 3.50
Ba7 0.8554 0.3509 0.2069  3 As 3.31-3.64, 1 Bi 3.50
Ba8 0.9978 0.0022 0.0000  3 As 3.31-3.65, 1 Bi 3.50
Bi1 0.6115 0.8618 0.1036  8 Ba 3.50-3.77
Bi2 0.8618 0.6115 0.6036  8 Ba 3.50-3.77
As1 0.1120 0.7368 0.2294  6 Ba 3.31-3.67
As2 0.2367 0.3617 0.4785  6 Ba 3.31-3.67
As3 0.3617 0.2367 0.9785  6 Ba 3.31-3.67
As4 0.7368 0.1120 0.7294  6 Ba 3.31-3.67

Computed properties:
For the raw total energy, the calculation gives -3.9689 eV/atom. The space group is Cc, No. 9.

=====

Record 6
# TiReTcOs2

TiReTcOs2 after structural relaxation (GGA-PBE, Alexandria via LeMat-Bulk).

Cell lengths 4.6803, 4.6803, 4.6313 Å; angles 90.00, 90.00, 90.00 degrees
Last column: nearest neighbours and their distance in Å.
Fractional coordinates of all 5 atoms:
Ti1 0.0000 0.0000 0.0000  8 Os 3.29, 4 Tc 3.31
Re1 0.5000 0.5000 0.5000  2 Tc 2.32, 4 Os 2.34
Tc1 0.5000 0.5000 0.0000  2 Re 2.32
Os1 0.0000 0.5000 0.5000  2 Re 2.34
Os2 0.5000 0.0000 0.5000  2 Re 2.34

Computed properties:
For the raw total energy, the calculation gives -8.9155 eV/atom. The space group is P4/mmm, No. 123.

=====

Record 7
# LiCa2La

LiCa2La after structural relaxation (GGA-PBE, Alexandria via LeMat-Bulk).

Cell lengths 5.9030, 5.9030, 4.1477 Å; angles 90.00, 90.00, 90.00 degrees
Last column: nearest neighbours and their distance in Å.
Fractional coordinates of all 4 atoms:
Li1 0.0000 0.0000 0.0000  8 Ca 3.61
Ca1 0.0000 0.5000 0.5000  4 La 3.61, 4 Li 3.61
Ca2 0.5000 0.0000 0.5000  4 La 3.61, 4 Li 3.61
La1 0.5000 0.5000 0.0000  8 Ca 3.61

Computed properties:
For the raw total energy, the calculation gives -2.5718 eV/atom. The space group is P4/mmm, No. 123.

=====

Record 8
# Sc6ZnRh5

Sc6ZnRh5 after structural relaxation (GGA-PBE, Alexandria via LeMat-Bulk).

Cell lengths 7.9866, 7.9866, 7.9866 Å; angles 146.45, 132.53, 59.38 degrees
Last column: nearest neighbours and their distance in Å.
Fractional coordinates of all 12 atoms:
Sc1 0.0789 0.3308 0.7481  7 Rh 2.79-2.84, 1 Zn 2.85
Sc2 0.2446 0.0000 0.2446  6 Rh 2.79-2.83, 2 Zn 2.83
Sc3 0.4173 0.6692 0.7481  7 Rh 2.79-2.84, 1 Zn 2.85
Sc4 0.5827 0.3308 0.2519  7 Rh 2.79-2.84, 1 Zn 2.85
Sc5 0.7554 0.0000 0.7554  6 Rh 2.79-2.83, 2 Zn 2.83
Sc6 0.9211 0.6692 0.2519  7 Rh 2.79-2.84, 1 Zn 2.85
Zn1 0.5000 0.5000 0.0000  8 Sc 2.83-2.85
Rh1 0.0000 0.5000 0.5000  8 Sc 2.79-2.84
Rh2 0.1663 0.1663 0.0000  8 Sc 2.79-2.80
Rh3 0.3343 0.8343 0.5000  8 Sc 2.79-2.83
Rh4 0.6657 0.1657 0.5000  8 Sc 2.79-2.83
Rh5 0.8337 0.8337 0.0000  8 Sc 2.79-2.80

Computed properties:
For the raw total energy, the calculation gives -7.2320 eV/atom. The space group is Immm, No. 71.